<i>
HfMoHRu2: optimized geometry, GGA-PBE.

Cell lengths 4.035, 4.035, 4.047 Å; angles 90.00, 90.00, 90.00 degrees
Space group P4/mmm (No. 123)
Symmetry-distinct sites (fractional):
1 Hf 0.000 0.000 0.000 [1 per cell]
2 Mo 0.500 0.500 0.000 [1 per cell]
3 H 0.000 0.000 0.500 [1 per cell]
4 Ru 0.000 0.500 0.500 [2 per cell]

Output
DOS at the Fermi energy ... 4.9 states/eV/f.u.
M_tot ... 0.00 μB per cell

=====

<ii>
HfMoHRu2: optimized geometry, GGA-PBE.

Cell lengths 4.084, 4.084, 3.957 Å; angles 90.00, 90.00, 90.00 degrees
Space group P4/mmm (No. 123)
Symmetry-distinct sites (fractional):
1 Hf 0.000 0.000 0.000 [1 per cell]
2 Mo 0.500 0.500 0.000 [1 per cell]
3 H 0.500 0.500 0.500 [1 per cell]
4 Ru 0.000 0.500 0.500 [2 per cell]

Output
DOS at the Fermi energy ... 5.9 states/eV/f.u.
M_tot ... 0.00 μB per cell

=====

Energies relative to the minimum, meV/atom: <i> 29; <ii> 0

=====

<i>
Hf2SbMoH: optimized geometry, GGA-PBE.

Cell lengths 4.442, 4.442, 4.052 Å; angles 90.00, 90.00, 90.00 degrees
Space group P4/mmm (No. 123)
Symmetry-distinct sites (fractional):
1 Hf 0.000 0.500 0.000 [2 per cell]
2 Sb 0.000 0.000 0.500 [1 per cell]
3 Mo 0.500 0.500 0.500 [1 per cell]
4 H 0.500 0.500 0.000 [1 per cell]

Output
DOS at the Fermi energy ... 3.1 states/eV/f.u.
M_tot ... 0.00 μB per cell

=====

<ii>
Hf2SbMoH: optimized geometry, GGA-PBE.

Cell lengths 5.184, 5.184, 3.513 Å; angles 90.00, 90.00, 90.00 degrees
Space group P4/mmm (No. 123)
Symmetry-distinct sites (fractional):
1 Hf 0.000 0.500 0.000 [2 per cell]
2 Sb 0.000 0.000 0.500 [1 per cell]
3 Mo 0.500 0.500 0.000 [1 per cell]
4 H 0.500 0.500 0.500 [1 per cell]

Output
DOS at the Fermi energy ... 2.8 states/eV/f.u.
M_tot ... 0.00 μB per cell

=====

Energies relative to the minimum, meV/atom: <i> 0; <ii> 612